1.
DFT (PBE) results for a relaxed Li2ZnCoN crystal.

Lattice parameters (Å, degrees): 4.0896 4.0896 3.5061 90.00 90.00 90.00
Last column: nearest neighbours and their distance in Å.
Fractional coordinates of all 5 atoms:
1 Li 0.0000 0.5000 0.0000  2 N 2.04
2 Li 0.5000 0.0000 0.0000  2 N 2.04
3 Zn 0.0000 0.0000 0.5000  8 Li 2.69, 4 Co 2.89
4 Co 0.5000 0.5000 0.5000  2 N 1.75
5 N 0.5000 0.5000 0.0000  2 Co 1.75

## Properties
VASP energy   -0.1591 Ha/atom
Density of states at the Fermi level   0.5705 states/eV/atom
Space-group type   P4/mmm (123)

2.
DFT (PBE) results for a relaxed MnTc2Ag crystal.

Lattice parameters (Å, degrees): 3.7607 3.7607 4.2023 90.00 90.00 90.00
Last column: nearest neighbours and their distance in Å.
Fractional coordinates of all 4 atoms:
1 Mn 0.0000 0.0000 0.0000  4 Ag 2.66, 8 Tc 2.82
2 Tc 0.0000 0.5000 0.5000  4 Tc 2.66, 4 Mn 2.82, 4 Ag 2.82
3 Tc 0.5000 0.0000 0.5000  4 Tc 2.66, 4 Mn 2.82, 4 Ag 2.82
4 Ag 0.5000 0.5000 0.0000  4 Mn 2.66, 8 Tc 2.82

## Properties
VASP energy   -0.2859 Ha/atom
Offset from the most stable computed form   0.65 eV/f.u.
Density of states at the Fermi level   0.9161 states/eV/atom
Space-group type   P4/mmm (123)
ΔH_f (0 K)   0.41 eV/atom

3.
DFT (PBE) results for a relaxed CaTbTlAu crystal.

Lattice parameters (Å, degrees): 3.7212 3.7212 7.6020 90.00 90.00 90.00
Last column: nearest neighbours and their distance in Å.
Fractional coordinates of all 4 atoms:
1 Ca 0.0000 0.0000 0.0000  4 Au 3.27, 4 Tl 3.36, 1 Tb 3.50
2 Tb 0.0000 0.0000 0.4601  4 Au 3.05, 4 Tl 3.32
3 Tl 0.5000 0.5000 0.7261  4 Tb 3.32, 4 Ca 3.36, 1 Au 3.57
4 Au 0.5000 0.5000 0.2561  4 Tb 3.05, 4 Ca 3.27

## Properties
VASP energy   -0.1355 Ha/atom
Offset from the most stable computed form   0.00 eV/f.u.
Density of states at the Fermi level   0.4911 states/eV/atom
Space-group type   P4mm (99)
ΔH_f (0 K)   -0.62 eV/atom

4.
DFT (PBE) results for a relaxed Sm4SnTe2P crystal.

Lattice parameters (Å, degrees): 7.5611 4.3452 7.6605 90.00 109.04 90.00
Last column: nearest neighbours and their distance in Å.
Fractional coordinates of all 8 atoms:
1 Sm 0.2293 0.0000 0.2209  2 P 2.95, 1 Sn 3.05, 3 Te 3.16-3.26
2 Sm 0.2448 0.5000 0.7686  1 P 2.95, 2 Sn 3.06, 3 Te 3.15-3.25
3 Sm 0.7552 0.5000 0.2314  1 P 2.95, 2 Sn 3.06, 3 Te 3.15-3.25
4 Sm 0.7707 0.0000 0.7791  2 P 2.95, 1 Sn 3.05, 3 Te 3.16-3.26
5 Sn 0.5000 0.0000 0.0000  6 Sm 3.05-3.06
6 Te 0.0000 0.0000 0.5000  6 Sm 3.15-3.16
7 Te 0.5000 0.5000 0.5000  6 Sm 3.25-3.26
8 P 0.0000 0.5000 0.0000  6 Sm 2.95

## Properties
VASP energy   -0.2072 Ha/atom
Density of states at the Fermi level   0.2309 states/eV/atom
Space-group type   P2/m (10)